# 1
# ZrAg2P

ZrAg2P after structural relaxation (GGA-PBE, the Alexandria database).

Lattice parameters (Å, degrees): 3.7857 3.7857 21.4737 90.00 90.00 90.00
Closest atoms and distances in Å follow each position.
Space group I-42d (No. 122)
Inequivalent atoms, fractional coordinates:
1 Zr 0.0000 0.0000 0.0000 [4 per cell]  4 P 2.68
2 Ag 0.2468 0.2500 0.6250 [8 per cell]  4 Ag 2.66-2.69
3 P 0.0000 0.0000 0.5000 [4 per cell]  4 Zr 2.68, 4 Ag 3.00

N(E_F) = 0.380 states/eV per atom
energy = -82.53 eV/cell

***

# 2
# Li8MgGa2

Li8MgGa2 after structural relaxation (GGA-PBE, the Alexandria database).

Lattice parameters (Å, degrees): 7.4084 13.9599 4.7568 90.00 129.48 90.00
Closest atoms and distances in Å follow each position.
Space group C2/m (No. 12)
Inequivalent atoms, fractional coordinates:
1 Li 0.0000 0.2088 0.0000 [4 per cell]  6 Li 2.61-2.90, 4 Ga 2.86-2.89, 1 Mg 2.91
2 Li 0.0015 0.5000 0.7395 [4 per cell]  2 Li 2.26-2.49
3 Li 0.2317 0.1399 0.7325 [8 per cell]  6 Li 2.61-2.90, 3 Ga 2.87-2.89
4 Mg 0.0000 0.0000 0.0000 [2 per cell]  6 Li 2.91-3.09
5 Ga 0.0000 0.3220 0.5000 [4 per cell]  12 Li 2.73-2.89

N(E_F) = 0.329 states/eV per atom
energy = -48.19 eV/cell
energy above the lowest structure with this stoichiometry = 0.59 eV per formula unit

***

# 3
# La2Th3Os2

La2Th3Os2 after structural relaxation (GGA-PBE, the Alexandria database).

Lattice parameters (Å, degrees): 12.4585 3.9940 8.9738 90.00 115.84 90.00
Closest atoms and distances in Å follow each position.
Space group C2/m (No. 12)
Inequivalent atoms, fractional coordinates:
1 La 0.1613 0.0000 0.3071 [4 per cell]  2 Os 3.20
2 Th 0.0000 0.5000 0.5000 [2 per cell]  4 Os 2.95
3 Th 0.1217 0.5000 0.9411 [4 per cell]  3 Os 2.84-3.00
4 Os 0.1549 0.0000 0.7398 [4 per cell]  5 Th 2.84-3.00

N(E_F) = 1.123 states/eV per atom
energy = -112.45 eV/cell

***

Computed values of formation energy (unit: eV/atom) for the preceding records, in sequence: -0.243; -0.103; -0.236.